No. 1
Here is crystalline KLi3Bi at its relaxed geometry from the Alexandria database. Energies are from PBEsol.

The structure belongs to space group Pm-3m (No. 221); the cell edges are 5.4158, 5.4158 and 5.4158 Å and the angles 90.00°, 90.00° and 90.00°. The inequivalent atoms are K at (0.0000, 0.0000, 0.0000), Li at (0.0000, 0.5000, 0.5000) and Bi at (0.5000, 0.5000, 0.5000).

The value obtained for the total magnetization is 0.0 μB/f.u. As for the crystal system: cubic. Its energy of formation from the pure elements is -24 kJ per mole of atoms.


No. 2
Here is crystalline K2MnTe at its relaxed geometry from the Alexandria database. Energies are from PBEsol.

The structure belongs to space group Amm2 (No. 38); the cell edges are 4.4989, 5.1839 and 12.8728 Å and the angles 90.00°, 90.00° and 90.00°. The inequivalent atoms are K at (0.0000, 0.0000, 0.0000), K at (0.5000, 0.0000, 0.2903), Mn at (0.0000, 0.0000, 0.6993) and Te at (0.5000, 0.0000, 0.5783).

The value obtained for the total magnetization is 5.0 μB/f.u. As for the crystal system: orthorhombic. Its uncorrected formation energy is -0.02 eV/f.u.


No. 3
Here is crystalline NiIrRu2 at its relaxed geometry from the Alexandria database. Energies are from PBEsol.

The structure belongs to space group I-4m2 (No. 119); the cell edges are 3.6971, 3.6971 and 7.5381 Å and the angles 90.00°, 90.00° and 90.00°. The inequivalent atoms are Ni at (0.0000, 0.0000, 0.0000), Ir at (0.0000, 0.5000, 0.7500), Ru at (0.0000, 0.0000, 0.5000) and Ru at (0.0000, 0.5000, 0.2500).

The value obtained for the total magnetization is 0.0 μB/f.u. As for the crystal system: tetragonal. The calculation puts the energy above the most stable polymorph in this dataset at 0.031 eV/atom. Its energy of formation from the pure elements is 8 kJ per mole of atoms.


No. 4
Here is crystalline ScIn2Hg at its relaxed geometry from the Alexandria database. Energies are from PBEsol.

The structure belongs to space group P4mm (No. 99); the cell edges are 3.7581, 3.7581 and 6.3460 Å and the angles 90.00°, 90.00° and 90.00°. The inequivalent atoms are Sc at (0.0000, 0.0000, 0.0000), In at (0.0000, 0.0000, 0.4911), In at (0.5000, 0.5000, 0.7520) and Hg at (0.5000, 0.5000, 0.2370).

The value obtained for the total magnetization is 0.0 μB/f.u. As for the crystal system: tetragonal. Its energy of formation from the pure elements is -24 kJ per mole of atoms.


No. 5
Here is crystalline Li2AgPb at its relaxed geometry from the Alexandria database. Energies are from PBEsol.

The structure belongs to space group Immm (No. 71); the cell edges are 4.1212, 4.2726 and 8.3395 Å and the angles 90.00°, 90.00° and 90.00°. The inequivalent atoms are Li at (0.0000, 0.0000, 0.2475), Ag at (0.0000, 0.5000, 0.5000) and Pb at (0.0000, 0.5000, 0.0000).

The value obtained for the total magnetization is 0.0 μB/f.u. As for the crystal system: orthorhombic. Its energy of formation from the pure elements is -23 kJ per mole of atoms.


No. 6
Here is crystalline Ce3Si6Pd20 at its relaxed geometry from the Alexandria database. Energies are from PBEsol.

The structure belongs to space group Fm-3m (No. 225); the cell edges are 12.1754, 12.1754 and 12.1754 Å and the angles 90.00°, 90.00° and 90.00°. The inequivalent atoms are Ce at (0.0000, 0.0000, 0.0000), Ce at (0.2500, 0.2500, 0.2500), Si at (0.0000, 0.0000, 0.2677), Pd at (0.0000, 0.1733, 0.1733) and Pd at (0.1167, 0.1167, 0.3833).

The value obtained for the total magnetization is 1.0 μB/f.u. As for the crystal system: cubic. Its uncorrected formation energy is -23.15 eV/f.u.